(1)
{"formula": "SrPb2Se", "functional": "PBE", "state": "relaxed", "lattice_angstrom": [[-5.810, 4.680, 0.922], [-6.713, 2.424, -2.359], [-3.252, -2.219, 2.420]], "species": ["Pb", "Pb", "Se", "Sr"], "fractional_positions": [[0.044, 0.044, 0.956], [0.456, 0.456, 0.544], [0.750, 0.750, 0.750], [0.250, 0.250, 0.250]], "sg": "No. 12", "crystal_system": "monoclinic", "rho_g_cm3": 7.5, "magmom_total_mub_per_cell": 0.0, "vol_a3_per_cell": 129.3, "e_tot_ev_per_atom": -3.8153, "formation_energy_uncorrected_ev_per_fu": -2.7}

***

(2)
{"formula": "Pm5Nd4In", "functional": "PBE", "state": "relaxed", "lattice_angstrom": [[-3.790, 1.882, -0.524], [-0.518, -2.070, -3.692], [-8.095, -13.830, 8.890]], "species": ["Pm", "Pm", "Pm", "Pm", "Pm", "Nd", "Nd", "Nd", "Nd", "In"], "fractional_positions": [[0.500, 0.500, 0.088], [0.500, 0.500, 0.293], [0.500, 0.500, 0.500], [0.500, 0.500, 0.707], [0.500, 0.500, 0.912], [0.000, 0.000, 0.196], [0.000, 0.000, 0.398], [0.000, 0.000, 0.602], [0.000, 0.000, 0.804], [0.000, 0.000, 0.000]], "sg": "No. 123", "crystal_system": "tetragonal", "rho_g_cm3": 7.1, "magmom_total_mub_per_cell": 0.0, "vol_a3_per_cell": 333.2, "formation_energy_ev_per_atom": 0.00, "e_tot_ev_per_atom": -4.5594, "relative_energy_kj_per_mol_fu": 0.0}